Rb2HfSCl6 | GGA-PBE | optimized geometry

Cell and atoms, written as extended XYZ:
```
10
Lattice="-5.5961 -3.4758 5.2223 5.6626 0.2131 6.2097 -1.4271 2.5071 6.9057" Properties=species:S:1:pos:R:3 pbc="T T T"
Cl 3.3135 -0.5566 6.0037
Cl 0.0526 -2.5820 9.0468
Cl -3.2470 -2.7062 5.4284
Cl -0.6739 0.3726 6.2921
Cl -0.6867 -1.1283 12.0456
Cl 0.0139 -0.6808 2.3853
Hf 0.0000 0.0000 0.0000
S 0.0332 -1.6314 5.7160
Rb 2.1344 0.5444 9.4157
Rb -3.4950 -1.3001 8.9220
```

Results
ρ = 3071 kg/m³
E_form (uncorrected) = -1.416 eV per atom
total magnetic moment = 0.00 μB/f.u.